# Ca2PtSe (PBE, optimized geometry)
# * size of the total moment: 0.0 μB per cell
# * formation energy from raw total energies: -1312 meV per atom
data_Ca2PtSe
_chemical_formula_sum 'Ca2 Pt1 Se1'
_cell_length_a 4.176
_cell_length_b 4.176
_cell_length_c 5.921
_cell_angle_alpha 90.00
_cell_angle_beta 90.00
_cell_angle_gamma 90.00
_space_group_name_H-M_alt 'P 4/m m m'
_space_group_IT_number 123
_space_group_name_Hall '-P 4 2'
loop_
_atom_site_label
_atom_site_type_symbol
_atom_site_fract_x
_atom_site_fract_y
_atom_site_fract_z
Ca1 Ca 0.000 0.000 0.000
Ca2 Ca 0.500 0.500 0.500
Pt1 Pt 0.000 0.000 0.500
Se1 Se 0.500 0.500 0.000